Below is SnTeNO2 after structural relaxation, with properties calculated at the GGA-PBE level.

Lattice parameters (Å, degrees): 4.127 4.127 4.224 90.00 90.00 90.00
Sites, in units of the cell vectors:
Sn1 0.000 0.000 0.000
Te1 0.500 0.500 0.000
N1 0.000 0.000 0.500
O1 0.000 0.500 0.500
O2 0.500 0.000 0.500

Values from the calculation:
symmetry = No. 123
formation energy from raw total energies = 0.92 eV per atom
VASP energy = -20.81 eV/cell
spin magnetization = 0.000 μB/f.u.